## PaGa4Sb (GGA-PBE)

Data for PaGa4Sb after structural relaxation.

Cell and atoms, written as extended XYZ:
```
6
Lattice="-5.333 1.346 -0.724 -3.868 -3.974 -0.148 -3.590 -0.535 4.196" Properties=species:S:1:pos:R:3 pbc="T T T"
Sb 0.000 0.000 0.000
Pa -3.198 -0.791 0.831
Ga -6.200 -1.709 -0.017
Ga -6.061 0.007 2.151
Ga -7.991 -1.976 2.077
Ga -5.330 -2.648 2.438
```

Space-group type: No. 216
Raw formation energy: -0.09 eV per atom
Uncorrected energy: -26.27 eV/cell